No. 1
# LiCr2PbCl8 (PBE, relaxed)
data_LiCr2PbCl8
_space_group_name_H-M_alt 'P 1 2/m 1'
_space_group_IT_number 10
_space_group_name_Hall '-P 2y'
_cell_length_a 6.0413
_cell_length_b 7.6810
_cell_length_c 6.2690
_cell_angle_alpha 90.00
_cell_angle_beta 93.56
_cell_angle_gamma 90.00
loop_
_atom_site_label
_atom_site_type_symbol
_atom_site_fract_x
_atom_site_fract_y
_atom_site_fract_z
Li1 Li 0.0000 0.0000 0.0000
Cr1 Cr 0.5000 0.2346 0.5000
Pb1 Pb 0.0000 0.5000 0.0000
Cl1 Cl 0.2550 0.2258 0.1893
Cl2 Cl 0.2866 0.0000 0.6523
Cl3 Cl 0.3008 0.5000 0.6411
# - Calculated volume: 24.195 Å³ per atom
# - Formation energy from raw total energies: -1.14 eV/atom


No. 2
# RbLiCrCl6 (PBE, relaxed)
data_RbLiCrCl6
_space_group_name_H-M_alt 'P 3 1 2'
_space_group_IT_number 149
_space_group_name_Hall 'P 3 2'
_cell_length_a 6.4196
_cell_length_b 6.4196
_cell_length_c 7.3003
_cell_angle_alpha 90.00
_cell_angle_beta 90.00
_cell_angle_gamma 120.00
loop_
_atom_site_label
_atom_site_type_symbol
_atom_site_fract_x
_atom_site_fract_y
_atom_site_fract_z
Rb1 Rb 0.0000 0.0000 0.0000
Li1 Li 0.3333 0.6667 0.5000
Cr1 Cr 0.6667 0.3333 0.5000
Cl1 Cl 0.3863 0.0285 0.3164
# - Calculated volume: 28.950 Å³ per atom
# - Formation energy from raw total energies: -1.32 eV/atom


No. 3
# RbLi2CrCl8 (PBE, relaxed)
data_RbLi2CrCl8
_space_group_name_H-M_alt 'P -1'
_space_group_IT_number 2
_space_group_name_Hall '-P 1'
_cell_length_a 5.5503
_cell_length_b 6.4174
_cell_length_c 8.6595
_cell_angle_alpha 86.49
_cell_angle_beta 74.46
_cell_angle_gamma 84.99
loop_
_atom_site_label
_atom_site_type_symbol
_atom_site_fract_x
_atom_site_fract_y
_atom_site_fract_z
Rb1 Rb 0.0000 0.0000 0.0000
Li1 Li 0.2290 0.5667 0.2992
Cr1 Cr 0.5000 0.0000 0.5000
Cl1 Cl 0.1997 0.8114 0.6501
Cl2 Cl 0.2237 0.3055 0.5238
Cl3 Cl 0.2461 0.4999 0.0156
Cl4 Cl 0.4010 0.9076 0.2662
# - Calculated volume: 24.651 Å³ per atom
# - Formation energy from raw total energies: -1.22 eV/atom


No. 4
# LiCrSnCl6 (PBE, relaxed)
data_LiCrSnCl6
_space_group_name_H-M_alt 'P -3 1 c'
_space_group_IT_number 163
_space_group_name_Hall '-P 3 2c'
_cell_length_a 6.4245
_cell_length_b 6.4245
_cell_length_c 12.1039
_cell_angle_alpha 90.00
_cell_angle_beta 90.00
_cell_angle_gamma 120.00
loop_
_atom_site_label
_atom_site_type_symbol
_atom_site_fract_x
_atom_site_fract_y
_atom_site_fract_z
Li1 Li 0.3333 0.6667 0.2500
Cr1 Cr 0.3333 0.6667 0.7500
Sn1 Sn 0.0000 0.0000 0.0000
Cl1 Cl 0.0223 0.3748 0.6375
# - Calculated volume: 24.036 Å³ per atom
# - Formation energy from raw total energies: -1.20 eV/atom


No. 5
# SrLiCrCl6 (PBE, relaxed)
data_SrLiCrCl6
_space_group_name_H-M_alt 'P 3 1 2'
_space_group_IT_number 149
_space_group_name_Hall 'P 3 2'
_cell_length_a 6.4335
_cell_length_b 6.4335
_cell_length_c 6.2478
_cell_angle_alpha 90.00
_cell_angle_beta 90.00
_cell_angle_gamma 120.00
loop_
_atom_site_label
_atom_site_type_symbol
_atom_site_fract_x
_atom_site_fract_y
_atom_site_fract_z
Sr1 Sr 0.0000 0.0000 0.0000
Li1 Li 0.3333 0.6667 0.5000
Cr1 Cr 0.6667 0.3333 0.5000
Cl1 Cl 0.3762 0.0219 0.7183
# - Calculated volume: 24.883 Å³ per atom
# - Formation energy from raw total energies: -1.70 eV/atom


No. 6
# Li2TlCrCl6 (PBE, relaxed)
data_Li2TlCrCl6
_space_group_name_H-M_alt 'C 1 2/c 1'
_space_group_IT_number 15
_space_group_name_Hall '-C 2yc'
_cell_length_a 13.8307
_cell_length_b 12.0168
_cell_length_c 7.8633
_cell_angle_alpha 90.00
_cell_angle_beta 113.68
_cell_angle_gamma 90.00
loop_
_atom_site_label
_atom_site_type_symbol
_atom_site_fract_x
_atom_site_fract_y
_atom_site_fract_z
Li1 Li 0.0816 0.0632 0.1561
Tl1 Tl 0.0000 0.3491 0.2500
Cr1 Cr 0.0000 0.2904 0.7500
Cl1 Cl 0.1046 0.4040 0.6823
Cl2 Cl 0.1075 0.0830 0.4745
Cl3 Cl 0.1241 0.2372 0.0275
# - Calculated volume: 29.922 Å³ per atom
# - Formation energy from raw total energies: -1.25 eV/atom


No. 7
# LiTl2CrCl6 (PBE, relaxed)
data_LiTl2CrCl6
_space_group_name_H-M_alt 'P -3 m 1'
_space_group_IT_number 164
_space_group_name_Hall '-P 3 2"'
_cell_length_a 7.0278
_cell_length_b 7.0278
_cell_length_c 6.1439
_cell_angle_alpha 90.00
_cell_angle_beta 90.00
_cell_angle_gamma 120.00
loop_
_atom_site_label
_atom_site_type_symbol
_atom_site_fract_x
_atom_site_fract_y
_atom_site_fract_z
Li1 Li 0.0000 0.0000 0.0000
Tl1 Tl 0.3333 0.6667 0.6855
Cr1 Cr 0.0000 0.0000 0.5000
Cl1 Cl 0.1569 0.3138 0.2736
# - Calculated volume: 26.279 Å³ per atom
# - Formation energy from raw total energies: -1.24 eV/atom


No. 8
# Li2ZrCrCl (PBE, relaxed)
data_Li2ZrCrCl
_space_group_name_H-M_alt 'P 4/m m m'
_space_group_IT_number 123
_space_group_name_Hall '-P 4 2'
_cell_length_a 4.5582
_cell_length_b 4.5582
_cell_length_c 4.1383
_cell_angle_alpha 90.00
_cell_angle_beta 90.00
_cell_angle_gamma 90.00
loop_
_atom_site_label
_atom_site_type_symbol
_atom_site_fract_x
_atom_site_fract_y
_atom_site_fract_z
Li1 Li 0.0000 0.5000 0.0000
Zr1 Zr 0.0000 0.0000 0.5000
Cr1 Cr 0.5000 0.5000 0.0000
Cl1 Cl 0.5000 0.5000 0.5000
# - Calculated volume: 17.196 Å³ per atom
# - Formation energy from raw total energies: 0.77 eV/atom


No. 9
# MgCrCl2 (PBE, relaxed)
data_MgCrCl2
_space_group_name_H-M_alt 'F m -3 m'
_space_group_IT_number 225
_space_group_name_Hall '-F 4 2 3'
_cell_length_a 6.8404
_cell_length_b 6.8404
_cell_length_c 6.8404
_cell_angle_alpha 90.00
_cell_angle_beta 90.00
_cell_angle_gamma 90.00
loop_
_atom_site_label
_atom_site_type_symbol
_atom_site_fract_x
_atom_site_fract_y
_atom_site_fract_z
Mg1 Mg 0.0000 0.0000 0.0000
Cr1 Cr 0.0000 0.0000 0.5000
Cl1 Cl 0.2500 0.2500 0.2500
# - Calculated volume: 20.005 Å³ per atom
# - Energy above the most stable polymorph in this dataset: 0.402 eV/atom
# - Formation energy from raw total energies: -0.24 eV/atom


No. 10
# MgCrCl2 (PBE, relaxed)
data_MgCrCl2
_space_group_name_H-M_alt 'C m m m'
_space_group_IT_number 65
_space_group_name_Hall '-C 2 2'
_cell_length_a 3.4014
_cell_length_b 6.3636
_cell_length_c 9.5087
_cell_angle_alpha 90.00
_cell_angle_beta 90.00
_cell_angle_gamma 90.00
loop_
_atom_site_label
_atom_site_type_symbol
_atom_site_fract_x
_atom_site_fract_y
_atom_site_fract_z
Mg1 Mg 0.0000 0.0000 0.0000
Cr1 Cr 0.0000 0.0000 0.5000
Cl1 Cl 0.0000 0.5000 0.3239
# - Calculated volume: 25.727 Å³ per atom
# - Energy above the most stable polymorph in this dataset: 0.162 eV/atom
# - Formation energy from raw total energies: -0.48 eV/atom


No. 11
# MgCrCl2 (PBE, relaxed)
data_MgCrCl2
_space_group_name_H-M_alt 'A m m 2'
_space_group_IT_number 38
_space_group_name_Hall 'A 2 -2'
_cell_length_a 3.4437
_cell_length_b 5.2132
_cell_length_c 9.7404
_cell_angle_alpha 90.00
_cell_angle_beta 90.00
_cell_angle_gamma 90.00
loop_
_atom_site_label
_atom_site_type_symbol
_atom_site_fract_x
_atom_site_fract_y
_atom_site_fract_z
Mg1 Mg 0.0000 0.0000 0.0000
Cr1 Cr 0.5000 0.0000 0.7448
Cl1 Cl 0.0000 0.0000 0.5522
Cl2 Cl 0.5000 0.0000 0.2078
# - Calculated volume: 21.858 Å³ per atom
# - Energy above the most stable polymorph in this dataset: 0.003 eV/atom
# - Formation energy from raw total energies: -0.64 eV/atom


No. 12
# MgCrCl2 (PBE, relaxed)
data_MgCrCl2
_space_group_name_H-M_alt 'P m m m'
_space_group_IT_number 47
_space_group_name_Hall '-P 2 2'
_cell_length_a 3.3451
_cell_length_b 4.0907
_cell_length_c 6.1839
_cell_angle_alpha 90.00
_cell_angle_beta 90.00
_cell_angle_gamma 90.00
loop_
_atom_site_label
_atom_site_type_symbol
_atom_site_fract_x
_atom_site_fract_y
_atom_site_fract_z
Mg1 Mg 0.0000 0.0000 0.0000
Cr1 Cr 0.5000 0.0000 0.5000
Cl1 Cl 0.0000 0.5000 0.5000
Cl2 Cl 0.5000 0.5000 0.0000
# - Calculated volume: 21.155 Å³ per atom
# - Energy above the most stable polymorph in this dataset: 0.288 eV/atom
# - Formation energy from raw total energies: -0.35 eV/atom


No. 13
# Mg2CrCl (PBE, relaxed)
data_Mg2CrCl
_space_group_name_H-M_alt 'F -4 3 m'
_space_group_IT_number 216
_space_group_name_Hall 'F -4 2 3'
_cell_length_a 7.1628
_cell_length_b 7.1628
_cell_length_c 7.1628
_cell_angle_alpha 90.00
_cell_angle_beta 90.00
_cell_angle_gamma 90.00
loop_
_atom_site_label
_atom_site_type_symbol
_atom_site_fract_x
_atom_site_fract_y
_atom_site_fract_z
Mg1 Mg 0.0000 0.0000 0.0000
Mg2 Mg 0.2500 0.2500 0.2500
Cr1 Cr 0.2500 0.2500 0.7500
Cl1 Cl 0.0000 0.0000 0.5000
# - Calculated volume: 22.969 Å³ per atom
# - Energy above the most stable polymorph in this dataset: 0.569 eV/atom
# - Formation energy from raw total energies: 0.35 eV/atom